Record 1
Tb6Si2Se3Br: relaxed, PBE.

The structure in POSCAR format:
```
Tb6Si2Se3Br
1.0
9.004 -2.056 0.000
9.004 2.056 0.000
-1.803 0.000 8.147
Tb Si Se Br
6 2 3 1
Cartesian
-0.320 0.000 2.253
4.223 0.000 7.270
5.182 0.000 3.448
11.024 0.000 4.699
11.983 0.000 0.877
16.526 0.000 5.894
2.414 0.000 2.723
13.792 0.000 5.424
1.359 0.000 6.830
8.103 0.000 4.073
14.847 0.000 1.317
9.004 0.000 0.000
```

Computed properties:
* uncorrected formation energy: -1391 meV/atom
* calculated total energy: -5.621 eV/atom

=====

Record 2
ThGaAuN: relaxed, PBE.

The structure in POSCAR format:
```
ThGaAuN
1.0
4.305 0.000 0.000
0.000 4.305 0.000
0.000 0.000 8.403
Th Ga Au N
2 2 2 2
Cartesian
1.076 1.076 1.052
3.229 3.229 7.351
1.076 3.229 4.201
3.229 1.076 4.201
1.076 1.076 5.643
3.229 3.229 2.760
1.076 3.229 0.000
3.229 1.076 0.000
```

Computed properties:
* uncorrected formation energy: -1000 meV/atom
* calculated total energy: -6.512 eV/atom

=====

Q: What is the formula in the second record?
A: ThGaAuN

=====

Q: Which value of uncorrected formation energy does entry 1 give?
A: -1391 meV/atom

=====

Q: Look up the uncorrected formation energy of the first one.
A: -1391 meV/atom

=====

Q: The highest calculated total energy belongs to which entry?
A: Tb6Si2Se3Br